(1)
VASP calculation (PBE-GGA) on a geometry-optimized Sm8HoPb6 structure.

abc: 9.3225 9.3225 8.5572
angles: 56.99 56.99 60.00
Fractional coordinates of all 15 atoms:
Sm (0.5606, 0.2320, 0.3101)
Sm (0.7680, 0.1027, 0.6899)
Sm (0.1027, 0.4394, 0.6899)
Sm (0.6664, 0.6664, 0.0008)
Sm (0.3336, 0.3336, 0.9992)
Sm (0.8973, 0.5606, 0.3101)
Sm (0.2320, 0.8973, 0.3101)
Sm (0.4394, 0.7680, 0.6899)
Ho (0.0000, 0.0000, 0.0000)
Pb (0.3981, 0.0690, 0.7940)
Pb (0.9310, 0.2611, 0.2060)
Pb (0.2611, 0.6019, 0.2060)
Pb (0.7389, 0.3981, 0.7940)
Pb (0.0690, 0.7389, 0.7940)
Pb (0.6019, 0.9310, 0.2060)

Summary:
- uncorrected energy (eV/cell) = -70.26
- ΔH_f (0 K) (eV per atom) = -0.378
- density of states at the Fermi level (states/eV per cell) = 10.98

(2)
VASP calculation (PBE-GGA) on a geometry-optimized Sm2HoPb3 structure.

abc: 4.9921 8.0265 9.0730
angles: 90.00 90.00 71.88
Fractional coordinates of all 12 atoms:
Sm (0.0000, 0.0000, 0.0000)
Sm (0.0000, 0.0000, 0.5000)
Sm (0.3331, 0.3338, 0.5000)
Sm (0.6669, 0.6662, 0.5000)
Ho (0.3322, 0.3357, 0.0000)
Ho (0.6678, 0.6643, 0.0000)
Pb (0.8327, 0.3351, 0.7536)
Pb (0.4996, 0.0000, 0.2469)
Pb (0.1673, 0.6649, 0.2464)
Pb (0.8322, 0.3351, 0.2464)
Pb (0.1678, 0.6649, 0.7536)
Pb (0.5004, 0.0000, 0.7531)

Summary:
- uncorrected energy (eV/cell) = -55.91
- ΔE to the lowest computed polymorph (kJ/mol of atoms) = 0.0
- ΔH_f (0 K) (eV per atom) = -0.469
- density of states at the Fermi level (states/eV per cell) = 9.83

(3)
VASP calculation (PBE-GGA) on a geometry-optimized Sm5Ho8Pb structure.

abc: 8.4415 8.4415 8.4415
angles: 110.76 106.93 110.76
Fractional coordinates of all 14 atoms:
Sm (0.0232, 0.3139, 0.1357)
Sm (0.8643, 0.8875, 0.1782)
Sm (0.8218, 0.6861, 0.7093)
Sm (0.5000, 0.0000, 0.5000)
Sm (0.2907, 0.1125, 0.9768)
Ho (0.1737, 0.7329, 0.0687)
Ho (0.9313, 0.1050, 0.6642)
Ho (0.7239, 0.2522, 0.3318)
Ho (0.6682, 0.3921, 0.9204)
Ho (0.5283, 0.6079, 0.2761)
Ho (0.5592, 0.8950, 0.8263)
Ho (0.3358, 0.2671, 0.4408)
Ho (0.0796, 0.7478, 0.4717)
Pb (0.2500, 0.5000, 0.7500)

Summary:
- uncorrected energy (eV/cell) = -61.57
- ΔH_f (0 K) (eV per atom) = 0.168
- density of states at the Fermi level (states/eV per cell) = 17.61

(4)
VASP calculation (PBE-GGA) on a geometry-optimized SmHoPb structure.

abc: 4.6029 4.6029 8.6890
angles: 89.99 90.01 90.00
Fractional coordinates of all 6 atoms:
Sm (0.7499, 0.2501, 0.6567)
Sm (0.2501, 0.7499, 0.3433)
Ho (0.7500, 0.7500, 0.0000)
Ho (0.2500, 0.2500, 0.0000)
Pb (0.2499, 0.7501, 0.7204)
Pb (0.7501, 0.2499, 0.2796)

Summary:
- uncorrected energy (eV/cell) = -28.63
- ΔE to the lowest computed polymorph (kJ/mol of atoms) = 0.0
- ΔH_f (0 K) (eV per atom) = -0.437
- density of states at the Fermi level (states/eV per cell) = 5.24

(5)
VASP calculation (PBE-GGA) on a geometry-optimized SmHo2Pb structure.

abc: 4.7113 4.6590 11.5683
angles: 101.58 90.00 90.00
Fractional coordinates of all 8 atoms:
Sm (0.2500, 0.3095, 0.6166)
Sm (0.7500, 0.6905, 0.3834)
Ho (0.7500, 0.4426, 0.8854)
Ho (0.2500, 0.5574, 0.1146)
Ho (0.2500, 0.9381, 0.8760)
Ho (0.7500, 0.0619, 0.1240)
Pb (0.7500, 0.8361, 0.6691)
Pb (0.2500, 0.1639, 0.3309)

Summary:
- uncorrected energy (eV/cell) = -37.56
- ΔE to the lowest computed polymorph (kJ/mol of atoms) = 0.0
- ΔH_f (0 K) (eV per atom) = -0.299
- density of states at the Fermi level (states/eV per cell) = 9.71

(6)
VASP calculation (PBE-GGA) on a geometry-optimized SmHo2Pb structure.

abc: 3.5393 3.5393 12.2072
angles: 81.66 81.66 60.00
Fractional coordinates of all 4 atoms:
Pb (0.0000, 0.0000, 0.0000)
Ho (0.0875, 0.0875, 0.7374)
Ho (0.9125, 0.9125, 0.2626)
Sm (0.5000, 0.5000, 0.5000)

Summary:
- uncorrected energy (eV/cell) = -17.38
- ΔE to the lowest computed polymorph (kJ/mol of atoms) = 33.7
- ΔH_f (0 K) (eV per atom) = 0.050
- density of states at the Fermi level (states/eV per cell) = 4.25